First-principles (GGA-PBE) data for a relaxed SmThIrRh crystal, as listed in Alexandria.

As for the energy relative to the elements: -882 meV per atom. The value obtained for the excess energy over the best structure of this formula in the dataset is 0 meV/atom.

Lattice parameters (Å, degrees): 3.927 4.232 5.853 90.00 109.60 90.00
Atoms (fractional coordinates):
Sm1 0.139 0.000 0.277
Rh1 0.593 0.500 0.185
Th1 0.860 0.500 0.721
Ir1 0.408 0.000 0.817